A geometry-optimized Dy2HoRh structure, computed with PBE-GGA.

**Polymorph energy (0 for the lowest one)**: 136.7 meV/atom
**Space-group type**: No. 123
**Calculated formation energy**: -0.395 eV per atom
**Total magnetic moment**: 0.00 μB/f.u.

Unit cell a=3.500 b=3.500 c=8.542 alpha=90.00 beta=90.00 gamma=90.00
Atoms (fractional coordinates):
Rh (0.500, 0.500, 0.000)
Dy (0.000, 0.000, 0.191)
Dy (0.000, 0.000, 0.809)
Ho (0.500, 0.500, 0.500)